First-principles (PBE) data for crystalline CsHgS4 at its relaxed geometry, as listed in Alexandria via LeMat-Bulk.

Lattice parameters (Å, degrees): 9.141 9.212 8.806 131.36 131.13 74.61
Sites, in units of the cell vectors:
Cs1 0.391 0.641 0.282
Cs2 0.609 0.359 0.718
Hg1 0.199 0.949 0.898
Hg2 0.801 0.051 0.102
S1 0.077 0.257 0.060
S2 0.928 0.656 0.663
S3 0.482 0.803 0.060
S4 0.235 0.007 0.663
S5 0.765 0.993 0.337
S6 0.518 0.197 0.940
S7 0.072 0.344 0.337
S8 0.923 0.743 0.940

Results
E_form (uncorrected): -0.28 eV/atom
VASP energy: -3.23 eV/atom